Density functional theory data (GGA-PBE) for a relaxed structure of Sc2CuBiH.

Cell and atoms, written as POSCAR:
```
Sc2CuBiH
1.0
-0.1448 3.1883 3.1742
-4.3510 -0.9070 0.7125
1.0582 -2.8162 2.8770
Sc H Bi Cu
2 1 1 1
Cartesian
-2.1755 -0.4535 0.3563
-0.0724 1.5941 1.5871
0.0000 0.0000 0.0000
-1.7188 -0.2675 3.3818
0.5291 -1.4081 1.4385
```

Crystal system ... tetragonal
Theoretical density ... 7.156 Mg/m³
Density of states at the Fermi level ... 2.7 states/eV per cell
Uncorrected energy ... -5.12 eV per atom